Density functional theory data (PBE) for a geometry-optimized SrLaSi2Ni4 structure. Values from VASP.

## Properties
Uncorrected energy   -5.539 eV/atom

Quantum ESPRESSO input file:
```
&SYSTEM
  ibrav = 0, nat = 8, ntyp = 4
/
ATOMIC_SPECIES
La 138.91 La.upf
Ni 58.69 Ni.upf
Si 28.09 Si.upf
Sr 87.62 Sr.upf
CELL_PARAMETERS angstrom
4.0259 0.0000 0.0000
-2.0129 3.4865 0.0000
0.0000 0.0000 10.0838
ATOMIC_POSITIONS angstrom
La 0.0000 0.0000 0.0000
Ni 0.0000 2.3243 2.0471
Ni 0.0000 0.0000 2.8784
Ni 0.0000 0.0000 7.2054
Ni 0.0000 2.3243 8.0367
Si 2.0129 1.1622 2.4730
Si 2.0129 1.1622 7.6108
Sr 0.0000 2.3243 5.0419
```